1.
# Ca2AcRuO8

A relaxed structure of Ca2AcRuO8 (PBE, Alexandria via LeMat-Bulk).

```
12
Lattice="-3.829 -1.360 3.412 1.980 -3.786 0.770 4.363 0.716 5.260" Properties=species:S:1:pos:R:3 pbc="T T T"
Ca 2.301 -1.528 6.214
Ca 0.212 -2.902 3.228
Ac 2.181 0.358 2.630
Ru 0.000 0.000 0.000
O 2.409 -2.210 1.900
O 2.636 -3.464 7.813
O -1.980 -1.679 3.351
O 0.105 -2.220 7.543
O -0.122 -0.966 1.630
O 4.494 -2.750 6.091
O 1.887 -3.480 4.964
O 0.627 -0.949 4.478
```

Computed properties:
Total energy: -6.727 eV/atom
M_tot: 0.9 μB per cell
Calculated volume: 149.1 Å³ per cell
ΔE_f (raw): -1.972 eV/atom



2.
# CaAcRuO6

A relaxed structure of CaAcRuO6 (PBE, Alexandria via LeMat-Bulk).

```
9
Lattice="-1.089 2.403 -4.928 -5.196 -0.076 -2.060 -1.020 4.472 2.406" Properties=species:S:1:pos:R:3 pbc="T T T"
Ca -4.699 3.787 -3.455
Ac -2.108 6.875 -2.522
Ru -2.605 3.011 -1.126
O -2.086 1.386 -0.254
O -1.362 3.984 -0.040
O -3.131 4.635 -1.998
O -3.972 3.264 0.192
O -3.845 2.042 -2.219
O -1.233 2.757 -2.440
```

Computed properties:
Total energy: -6.962 eV/atom
M_tot: 1.0 μB per cell
Calculated volume: 140.1 Å³ per cell
ΔE_f (raw): -1.947 eV/atom